Computed, not measured: a PBEsol-optimized structure of CsMn4Cl9 at the meta-GGA SCAN level of DFT.

The mass density is 3.29 g/cm³. The energy relative to the elements, uncorrected is -1.700 eV/atom. The value obtained for the total magnetization is 80.000 μB per cell.

The structure in CIF format:
```
data_CsMn4Cl9
_chemical_formula_sum 'Cs4 Mn16 Cl36'
_cell_length_a 11.527
_cell_length_b 11.527
_cell_length_c 10.208
_cell_angle_alpha 90.00
_cell_angle_beta 90.00
_cell_angle_gamma 90.00
_symmetry_space_group_name_H-M 'I 41/a'
_symmetry_Int_Tables_number 88
loop_
_symmetry_equiv_pos_as_xyz
'x,y,z'
'-x,-y,-z'
'-y+3/4,x+1/4,z+1/4'
'y+3/4,-x+1/4,-z+1/4'
'-x+1/2,-y,z+1/2'
'x+1/2,y,-z+1/2'
'y+3/4,-x+3/4,z+3/4'
'-y+3/4,x+3/4,-z+3/4'
'x+1/2,y+1/2,z+1/2'
'-x+1/2,-y+1/2,-z+1/2'
'-y+1/4,x+3/4,z+3/4'
'y+1/4,-x+3/4,-z+3/4'
'-x,-y+1/2,z'
'x,y+1/2,-z'
'y+1/4,-x+1/4,z+1/4'
'-y+1/4,x+1/4,-z+1/4'
loop_
_atom_site_label
_atom_site_type_symbol
_atom_site_fract_x
_atom_site_fract_y
_atom_site_fract_z
Cs1 Cs 0.000 0.250 0.125
Mn1 Mn 0.104 0.045 0.630
Cl1 Cl 0.000 0.250 0.625
Cl2 Cl 0.095 0.041 0.380
Cl3 Cl 0.106 0.051 0.867
```